A plane-wave DFT calculation with PBE was carried out for a relaxed structure of Re3BAu.

Unit cell a=4.8595 b=4.8595 c=4.8595 alpha=90.00 beta=90.00 gamma=90.00
Fractional coordinates of all 5 atoms:
Re (0.0000, 0.0000, 0.5000)
Re (0.0000, 0.5000, 0.0000)
Re (0.5000, 0.0000, 0.0000)
B (0.5000, 0.5000, 0.5000)
Au (0.0000, 0.0000, 0.0000)

total moment = 5.24 μB/f.u.
density = 11.09 Mg/m³
energy above the lowest structure with this stoichiometry = 3.404 eV/atom
DFT formation energy = 3.868 eV per atom
symmetry = Pm-3m